Entry from the Alexandria database: crystalline Sm2CoC2 at its relaxed geometry (PBE).

It has space group Pnma (No. 62), with a = 6.1394 Å, b = 5.2059 Å, c = 10.0729 Å, α = 90.00°, β = 90.00° and γ = 90.00°. The distinct sites, in fractional coordinates, are Sm at (0.0087, 0.2500, 0.2322), Sm at (0.2088, 0.2500, 0.5503), Co at (0.2405, 0.2500, 0.8514), C at (0.0176, 0.7500, 0.2439) and C at (0.2076, 0.7500, 0.5344).

The calculation puts the formation enthalpy at 0 K at -101.6 meV/atom. The energy above the most stable polymorph in this dataset comes out at 0 meV/atom.